1.
Material: Bi2TeSe
Method: DFT, PBE-GGA
State: optimized geometry

Cell: 8.221 8.221 6.932 Å, 53.63 53.63 90.00°
Element x y z (fractional)
Te 0.000 0.000 0.000
Te 0.750 0.250 0.500
Bi 0.609 0.125 0.250
Bi 0.141 0.625 0.250
Bi 0.375 0.391 0.750
Bi 0.875 0.859 0.750
Se 0.500 0.500 0.000
Se 0.250 0.750 0.500

Summary:
Its space-group type is I-42d, No. 122. Its total magnetization is 0.00 Bohr magnetons per cell. For the uncorrected formation energy, the calculation gives -0.04 eV per atom. As for the density of states at the Fermi level: 0.451 states/eV per atom.

2.
Material: PrSm4Ho15
Method: DFT, PBE-GGA
State: optimized geometry

Cell: 5.030 5.030 25.065 Å, 90.00 90.00 90.00°
Element x y z (fractional)
Pr 0.000 0.000 0.000
Sm 0.000 0.000 0.200
Sm 0.000 0.000 0.400
Sm 0.000 0.000 0.600
Sm 0.000 0.000 0.800
Ho 0.500 0.500 0.000
Ho 0.500 0.500 0.201
Ho 0.500 0.500 0.400
Ho 0.500 0.500 0.600
Ho 0.500 0.500 0.799
Ho 0.500 0.000 0.101
Ho 0.500 0.000 0.300
Ho 0.500 0.000 0.500
Ho 0.500 0.000 0.700
Ho 0.500 0.000 0.899
Ho 0.000 0.500 0.101
Ho 0.000 0.500 0.300
Ho 0.000 0.500 0.500
Ho 0.000 0.500 0.700
Ho 0.000 0.500 0.899

Summary:
Its space-group type is P4/mmm, No. 123. Its energy is -4.5958 eV/atom. Its total magnetization is 0.00 Bohr magnetons per cell. As for the density of states at the Fermi level: 1.327 states/eV per atom.

3.
Material: CdAsOs
Method: DFT, PBE-GGA
State: optimized geometry

Cell: 8.406 8.170 2.892 Å, 84.59 75.38 20.03°
Element x y z (fractional)
As 0.035 0.035 0.965
Os 0.656 0.656 0.344
Cd 0.310 0.310 0.690

Summary:
Its space-group type is Fmm2, No. 42. Its energy is -5.1356 eV/atom. Its total magnetization is 0.00 Bohr magnetons per cell. As for the density of states at the Fermi level: 0.764 states/eV per atom.

4.
Material: Zr3InSn
Method: DFT, PBE-GGA
State: optimized geometry

Cell: 10.692 9.133 9.133 Å, 65.86 45.91 45.91°
Element x y z (fractional)
Zr 0.648 0.788 0.022
Zr 0.852 0.978 0.212
Zr 0.352 0.212 0.978
Zr 0.148 0.022 0.788
Zr 0.911 0.343 0.112
Zr 0.589 0.888 0.657
Zr 0.089 0.657 0.888
Zr 0.411 0.112 0.343
Zr 0.487 0.557 0.790
Zr 0.013 0.210 0.443
Zr 0.513 0.443 0.210
Zr 0.987 0.790 0.557
In 0.250 0.896 0.104
In 0.750 0.104 0.896
In 0.250 0.343 0.657
In 0.750 0.657 0.343
Sn 0.852 0.464 0.754
Sn 0.648 0.246 0.536
Sn 0.148 0.536 0.246
Sn 0.352 0.754 0.464

Summary:
Its space-group type is C2/c, No. 15. Its energy is -6.7834 eV/atom. Its total magnetization is 0.00 Bohr magnetons per cell. As for the density of states at the Fermi level: 0.757 states/eV per atom.

5.
Material: KNa
Method: DFT, PBE-GGA
State: optimized geometry

Cell: 15.585 5.130 8.361 Å, 90.00 90.00 90.00°
Element x y z (fractional)
K 0.807 0.000 0.185
K 0.193 0.000 0.185
K 0.307 0.500 0.685
K 0.693 0.500 0.685
K 0.000 0.500 0.933
K 0.500 0.000 0.433
Na 0.885 0.000 0.640
Na 0.115 0.000 0.640
Na 0.385 0.500 0.140
Na 0.615 0.500 0.140
Na 0.000 0.500 0.419
Na 0.500 0.000 0.919

Summary:
Its space-group type is Imm2, No. 44. Its energy is -1.1652 eV/atom. Its total magnetization is 0.00 Bohr magnetons per cell. As for the density of states at the Fermi level: 0.525 states/eV per atom.

6.
Material: Cs3CdHg8
Method: DFT, PBE-GGA
State: optimized geometry

Cell: 6.700 6.700 11.622 Å, 73.25 73.25 60.00°
Element x y z (fractional)
Cs 0.623 0.623 0.130
Cs 0.008 0.008 0.976
Cs 0.495 0.495 0.515
Cd 0.133 0.133 0.600
Hg 0.564 0.061 0.810
Hg 0.060 0.560 0.321
Hg 0.564 0.564 0.810
Hg 0.060 0.060 0.321
Hg 0.810 0.810 0.570
Hg 0.311 0.311 0.067
Hg 0.061 0.564 0.810
Hg 0.560 0.060 0.321

Summary:
Its space-group type is R3m, No. 160. Its energy is -0.6559 eV/atom. Its total magnetization is 0.00 Bohr magnetons per cell. As for the density of states at the Fermi level: 0.655 states/eV per atom.

7.
Material: Pu3GaGe2Au6
Method: DFT, PBE-GGA
State: optimized geometry

Cell: 6.240 6.240 8.150 Å, 90.00 90.00 120.00°
Element x y z (fractional)
Pu 0.333 0.667 0.637
Pu 0.667 0.333 0.363
Pu 0.000 0.000 0.000
Ga 0.000 0.000 0.500
Ge 0.667 0.333 0.973
Ge 0.333 0.667 0.027
Au 0.644 0.822 0.284
Au 0.178 0.356 0.284
Au 0.178 0.822 0.284
Au 0.822 0.644 0.716
Au 0.356 0.178 0.716
Au 0.822 0.178 0.716

Summary:
Its space-group type is P-3m1, No. 164. Its energy is -6.4499 eV/atom. Its total magnetization is 17.03 Bohr magnetons per cell. As for the density of states at the Fermi level: 3.953 states/eV per atom.

8.
Material: LaMnTe2
Method: DFT, PBE-GGA
State: optimized geometry

Cell: 3.963 4.073 7.434 Å, 77.04 90.00 90.00°
Element x y z (fractional)
La 0.500 0.250 0.250
Mn 0.500 0.750 0.750
Te 0.000 0.843 0.998
Te 0.000 0.657 0.502

Summary:
Its space-group type is P2/m, No. 10. Its total magnetization is 4.19 Bohr magnetons per cell. For the uncorrected formation energy, the calculation gives -0.70 eV per atom. As for the density of states at the Fermi level: 0.642 states/eV per atom.

9.
Material: NiBAu
Method: DFT, PBE-GGA
State: optimized geometry

Cell: 2.977 2.977 14.254 Å, 90.00 90.00 120.00°
Element x y z (fractional)
Ni 0.000 0.000 0.713
Ni 0.333 0.667 0.379
Ni 0.667 0.333 0.046
B 0.000 0.000 0.308
B 0.333 0.667 0.975
B 0.667 0.333 0.642
Au 0.000 0.000 0.530
Au 0.333 0.667 0.197
Au 0.667 0.333 0.864

Summary:
Its space-group type is R3m, No. 160. Its energy is -5.0510 eV/atom. Its total magnetization is 0.00 Bohr magnetons per cell. As for the density of states at the Fermi level: 0.264 states/eV per atom.

10.
Material: Tb7Pd2Pt2
Method: DFT, PBE-GGA
State: optimized geometry

Cell: 3.838 9.298 9.298 Å, 61.96 78.09 78.09°
Element x y z (fractional)
Tb 0.808 0.090 0.294
Tb 0.877 0.378 0.867
Tb 0.500 0.988 0.012
Tb 0.616 0.492 0.277
Tb 0.384 0.723 0.508
Tb 0.192 0.706 0.910
Tb 0.123 0.133 0.622
Pd 0.000 0.765 0.235
Pd 0.500 0.364 0.636
Pt 0.739 0.868 0.654
Pt 0.261 0.346 0.132

Summary:
Its space-group type is Imm2, No. 44. Its energy is -5.7859 eV/atom. Its total magnetization is 0.00 Bohr magnetons per cell. As for the density of states at the Fermi level: 1.102 states/eV per atom.

11.
Material: SrBeRuC2
Method: DFT, PBE-GGA
State: optimized geometry

Cell: 4.309 4.800 4.309 Å, 90.00 90.00 90.00°
Element x y z (fractional)
Ru 0.500 0.500 0.500
C 0.000 0.000 0.500
C 0.500 0.000 0.000
Be 0.000 0.500 0.000
Sr 0.000 0.000 0.000

Summary:
Its space-group type is P4/mmm, No. 123. Its energy is -3.1388 eV/atom. Its total magnetization is 0.00 Bohr magnetons per cell. As for the density of states at the Fermi level: 1.796 states/eV per atom.

12.
Material: SnHgSbPb3
Method: DFT, PBE-GGA
State: optimized geometry

Cell: 4.433 9.122 11.122 Å, 125.10 90.00 90.00°
Element x y z (fractional)
Sn 0.250 0.638 0.115
Sn 0.750 0.362 0.885
Hg 0.250 0.112 0.618
Hg 0.750 0.888 0.382
Sb 0.750 0.785 0.746
Sb 0.250 0.215 0.254
Pb 0.250 0.694 0.501
Pb 0.750 0.898 0.090
Pb 0.750 0.442 0.211
Pb 0.750 0.306 0.499
Pb 0.250 0.558 0.789
Pb 0.250 0.102 0.910

Summary:
Its space-group type is P2_1/m, No. 11. Its total magnetization is 0.00 Bohr magnetons per cell. For the uncorrected formation energy, the calculation gives 0.04 eV per atom. As for the density of states at the Fermi level: 0.438 states/eV per atom.